Below is ZrBe after structural relaxation, with properties calculated at the PBE-GGA level.

Lattice parameters (Å, degrees): 6.2911 6.2911 3.8239 90.00 90.00 120.00
With the nearest neighbours (Å) after each atom.
Space group P-6m2 (No. 187)
Inequivalent atoms, fractional coordinates:
Zr1 0.0000 0.0000 0.0000 x1  6 Zr 2.74
Zr2 0.1807 0.3615 0.5000 x3  4 Zr 2.74-2.88, 4 Be 2.84
Be1 0.5501 0.1002 0.0000 x3  4 Be 2.20-2.30
Be2 0.6667 0.3333 0.5000 x1  6 Be 2.30

Below is NdZrZn2Ga2 after structural relaxation, with properties calculated at the PBE-GGA level.

Lattice parameters (Å, degrees): 4.3731 4.3731 7.0789 90.00 90.00 120.00
With the nearest neighbours (Å) after each atom.
Space group P-3m1 (No. 164)
Inequivalent atoms, fractional coordinates:
Nd1 0.0000 0.0000 0.0000 x1  6 Ga 3.20, 6 Zn 3.25, 2 Zr 3.54
Zr1 0.0000 0.0000 0.5000 x1  6 Zn 2.94, 6 Ga 2.97
Zn1 0.3333 0.6667 0.7119 x2  3 Ga 2.53
Ga1 0.3333 0.6667 0.2786 x2  3 Zn 2.53

Below is MgCdCo2As4 after structural relaxation, with properties calculated at the PBE-GGA level.

Lattice parameters (Å, degrees): 5.7415 5.7415 10.9312 90.00 90.00 90.00
With the nearest neighbours (Å) after each atom.
Space group I-4 (No. 82)
Inequivalent atoms, fractional coordinates:
Mg1 0.0000 0.0000 0.0000 x2  4 As 2.68
Cd1 0.0000 0.5000 0.2500 x2  4 As 2.73
Co1 0.0000 0.0000 0.5000 x2  4 As 2.23
Co2 0.0000 0.5000 0.7500 x2  4 As 2.23
As1 0.1793 0.2547 0.6224 x8  2 Co 2.23

Below is GdHoSbCl2 after structural relaxation, with properties calculated at the PBE-GGA level.

Lattice parameters (Å, degrees): 4.1711 4.1711 10.5095 90.00 90.00 120.00
With the nearest neighbours (Å) after each atom.
Space group P3m1 (No. 156)
Inequivalent atoms, fractional coordinates:
Gd1 0.0000 0.0000 0.0000 x1  3 Cl 2.86, 3 Sb 3.01
Ho1 0.3333 0.6667 0.3367 x1  3 Cl 2.84, 3 Sb 2.97
Sb1 0.6667 0.3333 0.1715 x1  3 Ho 2.97, 3 Gd 3.01
Cl1 0.0000 0.0000 0.4802 x1  3 Ho 2.84
Cl2 0.3333 0.6667 0.8529 x1  3 Gd 2.86

Below is HoNbPO after structural relaxation, with properties calculated at the PBE-GGA level.

Lattice parameters (Å, degrees): 4.1694 4.1694 7.4151 90.00 90.00 90.00
With the nearest neighbours (Å) after each atom.
Space group P4/nmm (No. 129, origin choice 2)
Inequivalent atoms, fractional coordinates:
Ho1 0.2500 0.7500 0.0000 x2  4 P 2.76, 4 Ho 2.95
Nb1 0.2500 0.2500 0.3971 x2  4 O 2.22
P1 0.2500 0.2500 0.7561 x2  1 Nb 2.66, 4 Ho 2.76, 4 O 2.82
O1 0.2500 0.7500 0.5000 x2  4 Nb 2.22

Below is PrIn2Cl5 after structural relaxation, with properties calculated at the PBE-GGA level.

Lattice parameters (Å, degrees): 12.8700 8.8462 8.1647 90.00 90.00 90.00
With the nearest neighbours (Å) after each atom.
Space group Pnma (No. 62)
Inequivalent atoms, fractional coordinates:
Pr1 0.0064 0.2500 0.0756 x4  7 Cl 2.79-2.88
In1 0.1702 0.0081 0.5579 x8  8 Cl 3.19-3.46
Cl1 0.0055 0.2500 0.4217 x4  1 Pr 2.83
Cl2 0.0720 0.5449 0.1691 x8  2 Pr 2.85-2.88
Cl3 0.1885 0.2500 0.8900 x4  1 Pr 2.79
Cl4 0.2060 0.7500 0.8444 x4  1 Pr 2.81

Calculated values (Ry per atom) of DFT total energy for the records, taken in order: -0.4266; -0.3058; -0.3218; -0.3703; -0.5218; -0.2946.